i | RbLaP3, optimized geometry, DFT GGA-PBE; N(E_F) = 4.86 states/eV/cell
1.0
5.5967 0.0000 0.0000
0.0000 5.5967 0.0000
0.0000 0.0000 5.5967
Rb La P
1 1 3
direct
0.0000 0.0000 0.0000 Rb
0.5000 0.5000 0.5000 La
0.0000 0.5000 0.5000 P
0.5000 0.0000 0.5000 P
0.5000 0.5000 0.0000 P

***

ii | RbLaP3, optimized geometry, DFT GGA-PBE; N(E_F) = 2.78 states/eV/cell
1.0
5.1867 0.0000 0.0000
0.0000 5.1867 0.0000
0.0000 0.0000 5.1867
Rb La P
1 1 3
direct
0.0000 0.0000 0.0000 Rb
0.5000 0.5000 0.5000 La
0.0000 0.0000 0.5000 P
0.0000 0.5000 0.0000 P
0.5000 0.0000 0.0000 P

***

It turns out i is the most stable, with the second structure 0.745 eV/atom higher.

***

i | RbLaP2, optimized geometry, DFT GGA-PBE; N(E_F) = 0.84 states/eV/cell
1.0
-2.8866 2.8866 9.4712
2.8866 -2.8866 9.4712
2.8866 2.8866 -9.4712
Rb La P
2 2 4
direct
0.0000 0.0000 0.0000 Rb
0.7500 0.2500 0.5000 Rb
0.2500 0.7500 0.5000 La
0.5000 0.5000 0.0000 La
0.3149 0.6250 0.1899 P
0.3750 0.5649 0.6899 P
0.4351 0.1250 0.8101 P
0.8750 0.6851 0.3101 P

***

ii | RbLaP2, optimized geometry, DFT GGA-PBE; N(E_F) = 4.71 states/eV/cell
1.0
0.0000 3.7508 3.7508
3.7508 0.0000 3.7508
3.7508 3.7508 0.0000
Rb La P
1 1 2
direct
0.0000 0.0000 0.0000 Rb
0.5000 0.5000 0.5000 La
0.2500 0.2500 0.2500 P
0.7500 0.7500 0.7500 P

***

It turns out i is the most stable, with the second structure 0.006 eV/atom higher.

***

i | RbLaPS2, optimized geometry, DFT GGA-PBE; N(E_F) = 4.86 states/eV/cell
1.0
5.3382 0.0000 0.0000
0.0000 5.3382 0.0000
0.0000 0.0000 5.1642
Rb La P S
1 1 1 2
direct
0.0000 0.0000 0.0000 Rb
0.5000 0.5000 0.5000 La
0.0000 0.0000 0.5000 P
0.0000 0.5000 0.0000 S
0.5000 0.0000 0.0000 S

***

ii | RbLaPS2, optimized geometry, DFT GGA-PBE; N(E_F) = 4.94 states/eV/cell
1.0
5.6004 0.0000 0.0000
0.0000 5.6004 0.0000
0.0000 0.0000 5.9137
Rb La P S
1 1 1 2
direct
0.0000 0.0000 0.0000 Rb
0.5000 0.5000 0.5000 La
0.5000 0.5000 0.0000 P
0.0000 0.5000 0.5000 S
0.5000 0.0000 0.5000 S

***

It turns out ii is the most stable, with the second structure 1.010 eV/atom higher.

***

i | LaRe3P, optimized geometry, DFT GGA-PBE; N(E_F) = 11.06 states/eV/cell
1.0
4.5511 0.0000 0.0000
0.0000 4.5511 0.0000
0.0000 0.0000 4.5511
La Re P
1 3 1
direct
0.0000 0.0000 0.0000 La
0.0000 0.5000 0.5000 Re
0.5000 0.0000 0.5000 Re
0.5000 0.5000 0.0000 Re
0.5000 0.5000 0.5000 P

***

ii | LaRe3P, optimized geometry, DFT GGA-PBE; N(E_F) = 5.74 states/eV/cell
1.0
4.8227 0.0000 0.0000
0.0000 4.8227 0.0000
0.0000 0.0000 4.8227
La Re P
1 3 1
direct
0.0000 0.0000 0.0000 La
0.0000 0.0000 0.5000 Re
0.0000 0.5000 0.0000 Re
0.5000 0.0000 0.0000 Re
0.5000 0.5000 0.5000 P

***

It turns out i is the most stable, with the second structure 2.820 eV/atom higher.

***

i | LaRe2P2, optimized geometry, DFT GGA-PBE; N(E_F) = 3.80 states/eV/cell
1.0
-2.0865 2.0865 5.1809
2.0865 -2.0865 5.1809
2.0865 2.0865 -5.1809
La Re P
1 2 2
direct
0.0000 0.0000 0.0000 La
0.2500 0.7500 0.5000 Re
0.7500 0.2500 0.5000 Re
0.3596 0.3596 0.0000 P
0.6404 0.6404 0.0000 P

***

ii | LaRe2P2, optimized geometry, DFT GGA-PBE; N(E_F) = 12.56 states/eV/cell
1.0
7.5710 0.0000 0.0000
0.0000 7.5710 0.0000
0.0000 0.0000 3.0047
La Re P
2 4 4
direct
0.0000 0.0000 0.0000 La
0.5000 0.5000 0.0000 La
0.1260 0.3740 0.5000 Re
0.3740 0.8740 0.5000 Re
0.6260 0.1260 0.5000 Re
0.8740 0.6260 0.5000 Re
0.1359 0.6359 0.0000 P
0.3641 0.1359 0.0000 P
0.6359 0.8641 0.0000 P
0.8641 0.3641 0.0000 P

***

It turns out i is the most stable, with the second structure 0.653 eV/atom higher.

***

i | LaReP2S, optimized geometry, DFT GGA-PBE; N(E_F) = 5.51 states/eV/cell
1.0
5.5484 0.0000 0.0000
0.0000 5.5484 0.0000
0.0000 0.0000 5.3232
La Re P S
1 1 2 1
direct
0.0000 0.0000 0.0000 La
0.5000 0.5000 0.5000 Re
0.0000 0.5000 0.0000 P
0.5000 0.0000 0.0000 P
0.0000 0.0000 0.5000 S

***

ii | LaReP2S, optimized geometry, DFT GGA-PBE; N(E_F) = 2.24 states/eV/cell
1.0
4.5178 0.0000 0.0000
0.0000 4.5178 0.0000
0.0000 0.0000 5.2532
La Re P S
1 1 2 1
direct
0.0000 0.0000 0.0000 La
0.5000 0.5000 0.5000 Re
0.0000 0.5000 0.5000 P
0.5000 0.0000 0.5000 P
0.5000 0.5000 0.0000 S

***

It turns out ii is the most stable, with the second structure 2.048 eV/atom higher.

***

i | LaP2Rh, optimized geometry, DFT GGA-PBE; N(E_F) = 2.50 states/eV/cell
1.0
-2.0500 2.0500 4.7563
2.0500 -2.0500 4.7563
2.0500 2.0500 -4.7563
La P Rh
1 2 1
direct
0.0000 0.0000 0.0000 La
0.3789 0.3789 0.0000 P
0.6211 0.6211 0.0000 P
0.2500 0.7500 0.5000 Rh

***

ii | LaP2Rh, optimized geometry, DFT GGA-PBE; N(E_F) = 2.65 states/eV/cell
1.0
3.4746 0.0000 0.0000
0.0000 3.5240 0.0000
0.0000 0.0000 6.2283
La P Rh
1 2 1
direct
0.0000 0.0000 0.0000 La
0.0000 0.0000 0.4947 P
0.5000 0.5000 0.2360 P
0.5000 0.5000 0.6088 Rh

***

iii | LaP2Rh, optimized geometry, DFT GGA-PBE; N(E_F) = 4.25 states/eV/cell
1.0
2.0679 -2.9803 0.0000
2.0679 2.9803 0.0000
0.0000 0.0000 6.4721
La P Rh
1 2 1
direct
0.0000 0.0000 0.0000 La
0.5000 0.5000 0.3124 P
0.5000 0.5000 0.6876 P
0.0000 0.0000 0.5000 Rh

***

It turns out i is the most stable, with the second structure 0.499 eV/atom higher.

***

i | LaP2Rh, optimized geometry, DFT GGA-PBE; N(E_F) = 1.45 states/eV/cell
1.0
3.7306 -2.0413 0.0000
3.7306 2.0413 0.0000
-1.2151 0.0000 5.3142
La P Rh
1 2 1
direct
0.0000 0.0000 0.0000 La
0.6041 0.6041 0.6460 P
0.7330 0.7330 0.3232 P
0.2694 0.2694 0.5783 Rh

***

ii | LaP2Rh, optimized geometry, DFT GGA-PBE; N(E_F) = 1.06 states/eV/cell
1.0
1.9461 1.1236 5.9115
-1.9461 1.1236 5.9115
0.0000 -2.2471 5.9115
La P Rh
1 2 1
direct
0.0000 0.0000 0.0000 La
0.2137 0.2137 0.2137 P
0.4344 0.4344 0.4344 P
0.8174 0.8174 0.8174 Rh

***

It turns out ii is the most stable, with the second structure 0.072 eV/atom higher.

***

i | LaPRh3, optimized geometry, DFT GGA-PBE; N(E_F) = 3.64 states/eV/cell
1.0
-2.0561 2.0561 5.2083
2.0561 -2.0561 5.2083
2.0561 2.0561 -5.2083
La P Rh
1 1 3
direct
0.0000 0.0000 0.0000 La
0.6448 0.6448 0.0000 P
0.2483 0.7483 0.5000 Rh
0.4291 0.4291 0.0000 Rh
0.7483 0.2483 0.5000 Rh

***

ii | LaPRh3, optimized geometry, DFT GGA-PBE; N(E_F) = 8.39 states/eV/cell
1.0
4.5213 0.0000 0.0000
0.0000 4.5213 0.0000
0.0000 0.0000 4.5213
La P Rh
1 1 3
direct
0.0000 0.0000 0.0000 La
0.5000 0.5000 0.5000 P
0.0000 0.5000 0.5000 Rh
0.5000 0.0000 0.5000 Rh
0.5000 0.5000 0.0000 Rh

***

It turns out i is the most stable, with the second structure 0.203 eV/atom higher.

***

i | LaP3Rh, optimized geometry, DFT GGA-PBE; N(E_F) = 6.96 states/eV/cell
1.0
4.6782 0.0000 0.0000
0.0000 4.6782 0.0000
0.0000 0.0000 4.6782
La P Rh
1 3 1
direct
0.0000 0.0000 0.0000 La
0.0000 0.5000 0.5000 P
0.5000 0.0000 0.5000 P
0.5000 0.5000 0.0000 P
0.5000 0.5000 0.5000 Rh

***

ii | LaP3Rh, optimized geometry, DFT GGA-PBE; N(E_F) = 14.03 states/eV/cell
1.0
5.2622 0.0000 0.0000
0.0000 5.2622 0.0000
0.0000 0.0000 5.2622
La P Rh
1 3 1
direct
0.0000 0.0000 0.0000 La
0.0000 0.0000 0.5000 P
0.0000 0.5000 0.0000 P
0.5000 0.0000 0.0000 P
0.5000 0.5000 0.5000 Rh

***

It turns out i is the most stable, with the second structure 1.786 eV/atom higher.

***

i | LaPRhS2, optimized geometry, DFT GGA-PBE; N(E_F) = 7.11 states/eV/cell
1.0
5.4259 0.0000 0.0000
0.0000 5.4259 0.0000
0.0000 0.0000 5.5030
La P Rh S
1 1 1 2
direct
0.0000 0.0000 0.0000 La
0.0000 0.0000 0.5000 P
0.5000 0.5000 0.5000 Rh
0.0000 0.5000 0.0000 S
0.5000 0.0000 0.0000 S

***

ii | LaPRhS2, optimized geometry, DFT GGA-PBE; N(E_F) = 3.30 states/eV/cell
1.0
4.8831 0.0000 0.0000
0.0000 4.8831 0.0000
0.0000 0.0000 4.3793
La P Rh S
1 1 1 2
direct
0.0000 0.0000 0.0000 La
0.5000 0.5000 0.0000 P
0.5000 0.5000 0.5000 Rh
0.0000 0.5000 0.5000 S
0.5000 0.0000 0.5000 S

***

It turns out ii is the most stable, with the second structure 1.537 eV/atom higher.

***

i | LaPRuS2, optimized geometry, DFT GGA-PBE; N(E_F) = 2.90 states/eV/cell
1.0
4.8999 0.0000 0.0000
0.0000 4.8999 0.0000
0.0000 0.0000 4.3312
La P Ru S
1 1 1 2
direct
0.0000 0.0000 0.0000 La
0.5000 0.5000 0.0000 P
0.5000 0.5000 0.5000 Ru
0.0000 0.5000 0.5000 S
0.5000 0.0000 0.5000 S

***

ii | LaPRuS2, optimized geometry, DFT GGA-PBE; N(E_F) = 6.50 states/eV/cell
1.0
5.4101 0.0000 0.0000
0.0000 5.4101 0.0000
0.0000 0.0000 5.4961
La P Ru S
1 1 1 2
direct
0.0000 0.0000 0.0000 La
0.0000 0.0000 0.5000 P
0.5000 0.5000 0.5000 Ru
0.0000 0.5000 0.0000 S
0.5000 0.0000 0.0000 S

***

It turns out i is the most stable, with the second structure 1.639 eV/atom higher.

***

i | La3PS, optimized geometry, DFT GGA-PBE; N(E_F) = 6.57 states/eV/cell
1.0
5.3687 0.0000 0.0000
0.0000 5.3687 0.0000
0.0000 0.0000 5.3687
La P S
3 1 1
direct
0.0000 0.0000 0.5000 La
0.0000 0.5000 0.0000 La
0.5000 0.0000 0.0000 La
0.5000 0.5000 0.5000 P
0.0000 0.0000 0.0000 S

***

ii | La3PS, optimized geometry, DFT GGA-PBE; N(E_F) = 5.46 states/eV/cell
1.0
6.9243 0.0000 0.0000
-3.4621 5.9966 0.0000
0.0000 0.0000 3.7765
La P S
3 1 1
direct
0.0147 0.6784 0.0000 La
0.3216 0.3362 0.0000 La
0.6638 0.9853 0.0000 La
0.3333 0.6667 0.5000 P
0.0000 0.0000 0.5000 S

***

It turns out ii is the most stable, with the second structure 0.421 eV/atom higher.